A relaxed structure of NaBH4. Source: Alexandria, functional PBE.

Unit cell a=4.2929 b=4.2934 c=5.8434 alpha=90.04 beta=90.03 gamma=90.00
With the nearest neighbours (Å) after each atom.
Positions (direct):
H: 0.4979 0.7330 0.8813  1 B 1.23
H: 0.2644 0.5000 0.1222  1 B 1.22
H: 0.9976 0.7672 0.6222  1 B 1.23
H: 0.9972 0.2343 0.6222  1 B 1.22
H: 0.2306 0.0007 0.3813  1 B 1.22
H: 0.7316 0.4995 0.1221  1 B 1.22
H: 0.7635 0.0002 0.3814  1 B 1.22
H: 0.4975 0.2658 0.8814  1 B 1.23
B: 0.4979 0.4996 0.0018  4 H 1.22-1.23
B: 0.9972 0.0006 0.5018  4 H 1.22-1.23
Na: 0.9979 0.9998 0.0018  12 H 2.43-2.53
Na: 0.4977 0.5004 0.5018  12 H 2.43-2.54

For the density of states at the Fermi level, the calculation gives 0.000 states/eV per atom. Its energy is -0.144 Ha/atom.